[1]
The following is a DFT calculation (PBE) of a relaxed Y2HgI2 crystal.

It has space group R-3m (No. 166, hexagonal axes), with a = 4.1325 Å, b = 4.1325 Å, c = 36.0598 Å, α = 90.00°, β = 90.00° and γ = 120.00°. The distinct sites, in fractional coordinates, are Y at (0.0000, 0.0000, 0.1137), Hg at (0.0000, 0.0000, 0.5000) and I at (0.0000, 0.0000, 0.2762).

For the volume, the calculation gives 533.3 Å³/cell. The calculation puts the density at 5.91 Mg/m³. As for the uncorrected formation energy: -462 kJ/mol of formula units.

[2]
The following is a DFT calculation (PBE) of a relaxed CdBrF crystal.

It has space group P3m1 (No. 156), with a = 3.8144 Å, b = 3.8144 Å, c = 5.5922 Å, α = 90.00°, β = 90.00° and γ = 120.00°. The distinct sites, in fractional coordinates, are Cd at (0.0000, 0.0000, 0.0000), Br at (0.6667, 0.3333, 0.7003) and F at (0.3333, 0.6667, 0.1559).

For the volume, the calculation gives 70.5 Å³/cell. The calculation puts the density at 4.98 Mg/m³. As for the uncorrected formation energy: -414 kJ/mol of formula units.

[3]
The following is a DFT calculation (PBE) of a relaxed Tl8TeCl6 crystal.

It has space group R-3 (No. 148, hexagonal axes), with a = 13.2928 Å, b = 13.2928 Å, c = 10.5418 Å, α = 90.00°, β = 90.00° and γ = 120.00°. The distinct sites, in fractional coordinates, are Tl at (0.0000, 0.0000, 0.1746), Tl at (0.0547, 0.2567, 0.6469), Te at (0.0000, 0.0000, 0.5000) and Cl at (0.0564, 0.2535, 0.1724).

For the volume, the calculation gives 1613.2 Å³/cell. The calculation puts the density at 6.10 Mg/m³. As for the uncorrected formation energy: -1182 kJ/mol of formula units.